A relaxed structure of KCaOs2. Source: Alexandria via LeMat-Bulk, functional PBE.

Summary:
Energy above the lowest structure with this stoichiometry = 0.799 eV/atom
SG = I4/mmm

Unit cell a=5.839 b=5.839 c=5.839 alpha=141.52 beta=141.52 gamma=55.55
Element x y z (fractional)
1 K 0.000 0.000 0.000
2 Ca 0.500 0.500 0.000
3 Os 0.250 0.750 0.500
4 Os 0.750 0.250 0.500

***

A relaxed structure of SrCaW. Source: Alexandria via LeMat-Bulk, functional PBE.

Summary:
Energy above the lowest structure with this stoichiometry = 0.142 eV/atom
SG = Imm2

Unit cell a=5.927 b=5.927 c=5.927 alpha=150.58 beta=128.64 gamma=60.30
Element x y z (fractional)
1 Sr 0.000 0.000 0.000
2 Ca 0.313 0.313 0.000
3 W 0.660 0.660 0.000

***

A relaxed structure of Sr2MgTeN. Source: Alexandria via LeMat-Bulk, functional PBE.

Summary:
Formation energy (no corrections) = -887 meV/atom
SG = P4/mmm

Unit cell a=5.436 b=5.436 c=4.273 alpha=90.00 beta=90.00 gamma=90.00
Element x y z (fractional)
1 Sr 0.000 0.500 0.000
2 Sr 0.500 0.000 0.000
3 Mg 0.000 0.000 0.500
4 Te 0.500 0.500 0.500
5 N 0.000 0.000 0.000

***

A relaxed structure of Mg4TlSi. Source: Alexandria via LeMat-Bulk, functional PBE.

Summary:
Formation energy (no corrections) = 250 meV/atom
SG = F-43m

Unit cell a=5.799 b=5.799 c=5.799 alpha=60.00 beta=60.00 gamma=60.00
Element x y z (fractional)
1 Mg 0.124 0.124 0.124
2 Mg 0.124 0.124 0.627
3 Mg 0.124 0.627 0.124
4 Mg 0.627 0.124 0.124
5 Tl 0.500 0.500 0.500
6 Si 0.750 0.750 0.750

***

A relaxed structure of NiB2IrRh2. Source: Alexandria via LeMat-Bulk, functional PBE.

Summary:
SG = Pmc2_1

Unit cell a=3.761 b=6.660 c=5.391 alpha=90.00 beta=90.00 gamma=90.00
Element x y z (fractional)
1 Ni 0.000 0.100 0.000
2 Ni 0.000 0.900 0.500
3 B 0.000 0.352 0.782
4 B 0.000 0.648 0.282
5 B 0.500 0.162 0.268
6 B 0.500 0.838 0.768
7 Ir 0.500 0.138 0.661
8 Ir 0.500 0.862 0.161
9 Rh 0.000 0.328 0.386
10 Rh 0.000 0.672 0.886
11 Rh 0.500 0.406 0.021
12 Rh 0.500 0.594 0.521

***

A relaxed structure of PaInGe. Source: Alexandria via LeMat-Bulk, functional PBE.

Summary:
Energy above the lowest structure with this stoichiometry = 0.000 eV/atom
SG = Cmcm

Unit cell a=8.136 b=8.136 c=4.081 alpha=90.00 beta=90.00 gamma=148.77
Element x y z (fractional)
1 Pa 0.084 0.916 0.750
2 Pa 0.916 0.084 0.250
3 In 0.257 0.743 0.250
4 In 0.743 0.257 0.750
5 Ge 0.432 0.568 0.750
6 Ge 0.568 0.432 0.250

***

A relaxed structure of Fe2SiHg. Source: Alexandria via LeMat-Bulk, functional PBE.

Summary:
Formation energy (no corrections) = 376 meV/atom
Energy above the lowest structure with this stoichiometry = 0.298 eV/atom
SG = P4/mmm

Unit cell a=3.859 b=3.859 c=3.905 alpha=90.00 beta=90.00 gamma=90.00
Element x y z (fractional)
1 Fe 0.000 0.500 0.000
2 Fe 0.500 0.000 0.000
3 Si 0.000 0.000 0.500
4 Hg 0.500 0.500 0.500

***

A relaxed structure of Li2TlPt2. Source: Alexandria via LeMat-Bulk, functional PBE.

Summary:
Energy above the lowest structure with this stoichiometry = 0.041 eV/atom
SG = P4/mbm

Unit cell a=7.390 b=7.390 c=2.878 alpha=90.00 beta=90.00 gamma=90.00
Element x y z (fractional)
1 Li 0.117 0.383 0.000
2 Li 0.383 0.883 0.000
3 Li 0.617 0.117 0.000
4 Li 0.883 0.617 0.000
5 Tl 0.000 0.000 0.000
6 Tl 0.500 0.500 0.000
7 Pt 0.179 0.679 0.500
8 Pt 0.321 0.179 0.500
9 Pt 0.679 0.821 0.500
10 Pt 0.821 0.321 0.500

***

A relaxed structure of Mn2TlCoCl. Source: Alexandria via LeMat-Bulk, functional PBE.

Summary:
Formation energy (no corrections) = 1180 meV/atom
SG = P4/mmm

Unit cell a=5.255 b=5.255 c=4.942 alpha=90.00 beta=90.00 gamma=90.00
Element x y z (fractional)
1 Mn 0.000 0.500 0.000
2 Mn 0.500 0.000 0.000
3 Tl 0.000 0.000 0.000
4 Co 0.000 0.000 0.500
5 Cl 0.500 0.500 0.500

***

A relaxed structure of CrCdIr2. Source: Alexandria via LeMat-Bulk, functional PBE.

Summary:
SG = Pmm2

Unit cell a=2.805 b=3.886 c=5.731 alpha=90.00 beta=90.00 gamma=90.00
Element x y z (fractional)
1 Cr 0.000 0.000 0.000
2 Cd 0.500 0.500 0.712
3 Ir 0.000 0.000 0.447
4 Ir 0.500 0.500 0.200

***

A relaxed structure of Mg2HgWC. Source: Alexandria via LeMat-Bulk, functional PBE.

Summary:
SG = P4/mmm

Unit cell a=5.266 b=5.266 c=3.850 alpha=90.00 beta=90.00 gamma=90.00
Element x y z (fractional)
1 Mg 0.000 0.500 0.000
2 Mg 0.500 0.000 0.000
3 Hg 0.000 0.000 0.000
4 W 0.500 0.500 0.500
5 C 0.000 0.000 0.500

***

A relaxed structure of Y3AsI. Source: Alexandria via LeMat-Bulk, functional PBE.

Summary:
Formation energy (no corrections) = -352 meV/atom
Energy above the lowest structure with this stoichiometry = 0.000 eV/atom
SG = Pm-3m

Unit cell a=5.478 b=5.478 c=5.478 alpha=90.00 beta=90.00 gamma=90.00
Element x y z (fractional)
1 Y 0.000 0.000 0.500
2 Y 0.000 0.500 0.000
3 Y 0.500 0.000 0.000
4 As 0.000 0.000 0.000
5 I 0.500 0.500 0.500

***

A relaxed structure of K2ScIr. Source: Alexandria via LeMat-Bulk, functional PBE.

Summary:
Energy above the lowest structure with this stoichiometry = 0.602 eV/atom
SG = I-42d

Unit cell a=12.709 b=12.709 c=12.709 alpha=161.47 beta=161.47 gamma=26.32
Element x y z (fractional)
1 K 0.115 0.625 0.990
2 K 0.375 0.365 0.490
3 K 0.635 0.125 0.010
4 K 0.875 0.885 0.510
5 Sc 0.250 0.750 0.500
6 Sc 0.500 0.500 0.000
7 Ir 0.000 0.000 0.000
8 Ir 0.750 0.250 0.500

***

A relaxed structure of Pm5Pb2I. Source: Alexandria via LeMat-Bulk, functional PBE.

Summary:
Formation energy (no corrections) = -392 meV/atom
SG = I4mm

Unit cell a=6.912 b=6.912 c=6.912 alpha=114.69 beta=114.69 gamma=99.48
Element x y z (fractional)
1 Pm 0.000 0.000 0.000
2 Pm 0.013 0.013 0.510
3 Pm 0.013 0.502 0.000
4 Pm 0.502 0.013 0.000
5 Pm 0.502 0.502 0.490
6 Pb 0.005 0.505 0.500
7 Pb 0.505 0.005 0.500
8 I 0.562 0.562 0.000

***

A relaxed structure of La2TlCo. Source: Alexandria via LeMat-Bulk, functional PBE.

Summary:
SG = P4/mmm

Unit cell a=3.501 b=3.501 c=8.599 alpha=90.00 beta=90.00 gamma=90.00
Element x y z (fractional)
1 La 0.000 0.000 0.196
2 La 0.000 0.000 0.804
3 Tl 0.500 0.500 0.500
4 Co 0.500 0.500 0.000

***

A relaxed structure of CrHW3. Source: Alexandria via LeMat-Bulk, functional PBE.

Summary:
Energy above the lowest structure with this stoichiometry = 0.000 eV/atom
SG = Pm-3m

Unit cell a=3.996 b=3.996 c=3.996 alpha=90.00 beta=90.00 gamma=90.00
Element x y z (fractional)
1 Cr 0.000 0.000 0.000
2 H 0.500 0.500 0.500
3 W 0.000 0.500 0.500
4 W 0.500 0.000 0.500
5 W 0.500 0.500 0.000

***

A relaxed structure of LaNi2Rh2. Source: Alexandria via LeMat-Bulk, functional PBE.

Summary:
Energy above the lowest structure with this stoichiometry = 0.000 eV/atom
SG = I4/mmm

Unit cell a=5.964 b=5.964 c=5.964 alpha=140.26 beta=140.26 gamma=57.46
Element x y z (fractional)
1 La 0.000 0.000 0.000
2 Ni 0.391 0.391 0.000
3 Ni 0.609 0.609 0.000
4 Rh 0.250 0.750 0.500
5 Rh 0.750 0.250 0.500

***

A relaxed structure of Cs2InPbI. Source: Alexandria via LeMat-Bulk, functional PBE.

Summary:
Formation energy (no corrections) = -96 meV/atom
SG = P4/mmm

Unit cell a=7.123 b=7.123 c=6.517 alpha=90.00 beta=90.00 gamma=90.00
Element x y z (fractional)
1 Cs 0.000 0.500 0.000
2 Cs 0.500 0.000 0.000
3 In 0.000 0.000 0.500
4 Pb 0.500 0.500 0.500
5 I 0.000 0.000 0.000

***

A relaxed structure of SiPtRh2. Source: Alexandria via LeMat-Bulk, functional PBE.

Summary:
Formation energy (no corrections) = -336 meV/atom
SG = P4mm

Unit cell a=2.840 b=2.840 c=6.999 alpha=90.00 beta=90.00 gamma=90.00
Element x y z (fractional)
1 Si 0.000 0.000 0.000
2 Pt 0.500 0.500 0.226
3 Rh 0.000 0.000 0.515
4 Rh 0.500 0.500 0.799

***

A relaxed structure of KSr2Ca. Source: Alexandria via LeMat-Bulk, functional PBE.

Summary:
Energy above the lowest structure with this stoichiometry = 0.061 eV/atom
SG = I-4m2

Unit cell a=7.419 b=7.419 c=7.419 alpha=132.73 beta=132.73 gamma=69.08
Element x y z (fractional)
1 K 0.000 0.000 0.000
2 Sr 0.250 0.750 0.500
3 Sr 0.500 0.500 0.000
4 Ca 0.750 0.250 0.500

***

| no. | raw total energy (eV per atom) | Fermi-level density of states (states/eV per atom) |
| --- | --- | --- |
| 1 | -5.199 | 1.233 |
| 2 | -4.382 | 1.704 |
| 3 | -4.172 | 0.318 |
| 4 | -2.112 | 0.486 |
| 5 | -7.288 | 0.897 |
| 6 | -5.837 | 1.258 |
| 7 | -5.287 | 0.853 |
| 8 | -3.972 | 0.348 |
| 9 | -4.751 | 0.865 |
| 10 | -6.881 | 0.931 |
| 11 | -3.028 | 1.066 |
| 12 | -5.471 | 1.764 |
| 13 | -3.730 | 0.582 |
| 14 | -4.482 | 1.200 |
| 15 | -5.019 | 0.707 |
| 16 | -9.961 | 1.118 |
| 17 | -6.448 | 1.457 |
| 18 | -2.036 | 0.704 |
| 19 | -6.878 | 1.287 |
| 20 | -1.490 | 1.067 |